! ZnRh3 (PBE, optimized geometry); values from VASP
&SYSTEM
  ibrav = 0, nat = 4, ntyp = 2
/
ATOMIC_SPECIES
Zn 65.41 Zn.upf
Rh 102.91 Rh.upf
ATOMIC_POSITIONS angstrom
Zn 0.000 0.000 0.000
Rh -2.136 -1.233 0.909
Rh -2.136 1.233 1.817
Rh 0.000 2.466 0.909
CELL_PARAMETERS angstrom
4.272 2.466 0.909
-4.272 2.466 0.909
0.000 -4.932 0.909
! Space group = R-3m, No. 166
! M_tot = 0.02 μB/f.u.
! Calculated volume = 14.36 A^3/atom
! Final energy = -23.151 eV per formula unit

***

! ZnRh2 (PBE, optimized geometry); values from VASP
&SYSTEM
  ibrav = 0, nat = 6, ntyp = 2
/
ATOMIC_SPECIES
Zn 65.41 Zn.upf
Rh 102.91 Rh.upf
ATOMIC_POSITIONS angstrom
Zn 0.000 1.011 2.098
Zn 1.347 1.011 6.544
Rh 1.347 1.011 -3.234
Rh 1.347 1.011 -0.705
Rh 0.000 1.011 9.348
Rh 0.000 1.011 11.877
CELL_PARAMETERS angstrom
-1.347 2.023 8.643
1.347 -2.023 8.643
1.347 2.023 -8.643
! Space group = Imma, No. 74
! M_tot = 0.00 μB/f.u.
! Calculated volume = 15.70 A^3/atom
! Final energy = -15.724 eV per formula unit

***

! Zn2Rh (PBE, optimized geometry); values from VASP
&SYSTEM
  ibrav = 0, nat = 3, ntyp = 2
/
ATOMIC_SPECIES
Zn 65.41 Zn.upf
Rh 102.91 Rh.upf
ATOMIC_POSITIONS angstrom
Zn 0.000 2.399 1.233
Zn 2.077 1.199 1.576
Rh 0.000 0.000 0.000
CELL_PARAMETERS angstrom
4.154 0.000 0.000
-2.077 3.598 0.000
0.000 0.000 2.809
! Space group = P-3m1, No. 164
! M_tot = 0.00 μB/f.u.
! Calculated volume = 14.00 A^3/atom
! Final energy = -10.823 eV per formula unit

***

! ZnRh (PBE, optimized geometry); values from VASP
&SYSTEM
  ibrav = 0, nat = 4, ntyp = 2
/
ATOMIC_SPECIES
Zn 65.41 Zn.upf
Rh 102.91 Rh.upf
ATOMIC_POSITIONS angstrom
Zn 0.756 0.756 0.769
Zn 2.267 2.267 5.383
Rh 0.756 0.756 3.953
Rh 2.267 2.267 2.199
CELL_PARAMETERS angstrom
3.022 0.000 0.000
0.000 3.022 0.000
0.000 0.000 6.152
! Space group = P4/nmm, No. 129
! M_tot = 0.00 μB/f.u.
! Calculated volume = 14.05 A^3/atom
! Final energy = -8.972 eV per formula unit

***

! ZnRh2 (PBE, optimized geometry); values from VASP
&SYSTEM
  ibrav = 0, nat = 6, ntyp = 2
/
ATOMIC_SPECIES
Zn 65.41 Zn.upf
Rh 102.91 Rh.upf
ATOMIC_POSITIONS angstrom
Zn 0.000 0.000 1.187
Zn 0.000 0.000 3.562
Rh 3.908 0.893 0.000
Rh 0.893 2.122 0.000
Rh 2.122 0.893 2.375
Rh -0.893 2.122 2.375
CELL_PARAMETERS angstrom
-3.015 3.015 2.375
3.015 -3.015 2.375
3.015 3.015 -2.375
! Space group = I4/mcm, No. 140
! M_tot = 0.93 μB/f.u.
! Calculated volume = 14.39 A^3/atom
! Final energy = -15.886 eV per formula unit

***

! ZnRh3 (PBE, optimized geometry); values from VASP
&SYSTEM
  ibrav = 0, nat = 4, ntyp = 2
/
ATOMIC_SPECIES
Zn 65.41 Zn.upf
Rh 102.91 Rh.upf
ATOMIC_POSITIONS angstrom
Zn 0.000 0.000 0.000
Rh 1.916 0.000 1.915
Rh 0.000 0.000 3.831
Rh 0.000 1.916 1.915
CELL_PARAMETERS angstrom
-1.916 1.916 3.831
1.916 -1.916 3.831
1.916 1.916 -3.831
! Space group = I4/mmm, No. 139
! M_tot = 0.00 μB/f.u.
! Calculated volume = 14.06 A^3/atom
! Final energy = -24.034 eV per formula unit

***

! ZnRh (PBE, optimized geometry); values from VASP
&SYSTEM
  ibrav = 0, nat = 8, ntyp = 2
/
ATOMIC_SPECIES
Zn 65.41 Zn.upf
Rh 102.91 Rh.upf
ATOMIC_POSITIONS angstrom
Zn 0.976 0.976 0.000
Zn 1.506 3.457 2.512
Zn 3.457 1.506 2.512
Zn 3.987 3.987 0.000
Rh 0.980 0.980 2.512
Rh 1.502 3.461 0.000
Rh 3.461 1.502 0.000
Rh 3.983 3.983 2.512
CELL_PARAMETERS angstrom
4.963 0.000 0.000
0.000 4.963 0.000
0.000 0.000 5.023
! Space group = P4_2/mnm, No. 136
! M_tot = 0.00 μB/f.u.
! Calculated volume = 15.46 A^3/atom
! Final energy = -8.506 eV per formula unit

***

! Zn2Rh (PBE, optimized geometry); values from VASP
&SYSTEM
  ibrav = 0, nat = 9, ntyp = 2
/
ATOMIC_SPECIES
Zn 65.41 Zn.upf
Rh 102.91 Rh.upf
ATOMIC_POSITIONS angstrom
Zn -1.050 1.819 0.000
Zn -2.228 3.859 1.463
Zn 2.100 0.000 0.000
Zn 1.366 2.366 1.463
Zn 4.456 0.000 1.463
Zn 2.544 4.407 0.000
Rh 0.000 0.000 1.463
Rh 0.000 4.150 0.000
Rh 3.594 2.075 0.000
CELL_PARAMETERS angstrom
7.189 0.000 0.000
-3.594 6.226 0.000
0.000 0.000 2.926
! Space group = P-62m, No. 189
! M_tot = 0.00 μB/f.u.
! Calculated volume = 14.55 A^3/atom
! Final energy = -10.739 eV per formula unit

***

! Zn3Rh (PBE, optimized geometry); values from VASP
&SYSTEM
  ibrav = 0, nat = 4, ntyp = 2
/
ATOMIC_SPECIES
Zn 65.41 Zn.upf
Rh 102.91 Rh.upf
ATOMIC_POSITIONS angstrom
Zn 0.000 0.000 0.000
Zn 0.000 0.000 6.495
Zn 0.000 0.000 20.011
Rh 0.000 0.000 13.253
CELL_PARAMETERS angstrom
1.392 0.804 8.836
-1.392 0.804 8.836
0.000 -1.607 8.836
! Space group = R-3m, No. 166
! M_tot = 0.36 μB/f.u.
! Calculated volume = 14.83 A^3/atom
! Final energy = -11.531 eV per formula unit

***

! Zn2Rh (PBE, optimized geometry); values from VASP
&SYSTEM
  ibrav = 0, nat = 6, ntyp = 2
/
ATOMIC_SPECIES
Zn 65.41 Zn.upf
Rh 102.91 Rh.upf
ATOMIC_POSITIONS angstrom
Zn 0.000 0.000 0.000
Zn -0.394 0.000 3.565
Zn 3.182 0.000 1.671
Zn 5.486 0.000 5.604
Rh 2.258 0.000 4.115
Rh 5.841 0.000 1.909
CELL_PARAMETERS angstrom
4.824 -1.457 0.000
4.824 1.457 0.000
-1.554 0.000 6.072
! Space group = Cm, No. 8
! M_tot = 0.00 μB/f.u.
! Calculated volume = 14.22 A^3/atom
! Final energy = -10.748 eV per formula unit

***

! ZnRh3 (PBE, optimized geometry); values from VASP
&SYSTEM
  ibrav = 0, nat = 4, ntyp = 2
/
ATOMIC_SPECIES
Zn 65.41 Zn.upf
Rh 102.91 Rh.upf
ATOMIC_POSITIONS angstrom
Zn 0.000 0.000 0.000
Rh 0.000 0.000 6.481
Rh 0.000 0.000 12.920
Rh 0.000 0.000 19.359
CELL_PARAMETERS angstrom
1.377 0.795 8.613
-1.377 0.795 8.613
0.000 -1.590 8.613
! Space group = R-3m, No. 166
! M_tot = 0.00 μB/f.u.
! Calculated volume = 14.14 A^3/atom
! Final energy = -23.672 eV per formula unit

***

! Zn2Rh (PBE, optimized geometry); values from VASP
&SYSTEM
  ibrav = 0, nat = 3, ntyp = 2
/
ATOMIC_SPECIES
Zn 65.41 Zn.upf
Rh 102.91 Rh.upf
ATOMIC_POSITIONS angstrom
Zn 1.471 1.471 1.471
Zn 4.414 4.414 4.414
Rh 0.000 0.000 0.000
CELL_PARAMETERS angstrom
0.000 2.943 2.943
2.943 0.000 2.943
2.943 2.943 0.000
! Space group = Fm-3m, No. 225
! M_tot = 0.00 μB/f.u.
! Calculated volume = 16.99 A^3/atom
! Final energy = -10.210 eV per formula unit

***

! Zn13Rh (PBE, optimized geometry); values from VASP
&SYSTEM
  ibrav = 0, nat = 14, ntyp = 2
/
ATOMIC_SPECIES
Zn 65.41 Zn.upf
Rh 102.91 Rh.upf
ATOMIC_POSITIONS angstrom
Zn 0.000 0.000 0.000
Zn 3.287 2.365 1.021
Zn 2.049 0.000 1.883
Zn 3.886 1.426 3.460
Zn 6.583 2.365 4.120
Zn 4.154 0.000 0.351
Zn 5.984 1.426 1.681
Zn 3.886 -1.426 3.460
Zn 5.716 0.000 4.790
Zn 3.287 -2.365 1.021
Zn 5.984 -1.426 1.681
Zn 7.821 0.000 3.258
Zn 6.583 -2.365 4.120
Rh -0.522 0.000 2.571
CELL_PARAMETERS angstrom
5.457 -3.724 0.000
5.457 3.724 0.000
-1.044 0.000 5.141
! Space group = C2/m, No. 12
! M_tot = 0.00 μB/f.u.
! Calculated volume = 14.93 A^3/atom
! Final energy = -25.551 eV per formula unit

***

! ZnRh (PBE, optimized geometry); values from VASP
&SYSTEM
  ibrav = 0, nat = 4, ntyp = 2
/
ATOMIC_SPECIES
Zn 65.41 Zn.upf
Rh 102.91 Rh.upf
ATOMIC_POSITIONS angstrom
Zn 0.708 1.125 0.367
Zn 2.124 3.375 4.068
Rh 0.708 3.375 1.855
Rh 2.124 1.125 2.581
CELL_PARAMETERS angstrom
2.832 0.000 0.000
0.000 4.501 0.000
0.000 0.000 4.436
! Space group = Pmmn, No. 59
! M_tot = 0.00 μB/f.u.
! Calculated volume = 14.14 A^3/atom
! Final energy = -9.095 eV per formula unit

***

! Zn5Rh2 (PBE, optimized geometry); values from VASP
&SYSTEM
  ibrav = 0, nat = 14, ntyp = 2
/
ATOMIC_SPECIES
Zn 65.41 Zn.upf
Rh 102.91 Rh.upf
ATOMIC_POSITIONS angstrom
Zn 4.651 1.354 0.281
Zn 2.956 0.794 4.791
Zn 5.555 1.305 5.319
Zn 7.470 1.354 3.265
Zn 3.461 -0.794 1.245
Zn 8.155 0.794 5.847
Zn 4.146 -1.354 3.827
Zn 6.060 -1.305 1.773
Zn 8.660 -0.794 2.301
Zn 6.965 -1.354 6.811
Rh 4.884 0.895 2.796
Rh 7.237 0.895 0.750
Rh 4.379 -0.895 6.342
Rh 6.732 -0.895 4.296
CELL_PARAMETERS angstrom
6.313 -2.233 0.000
6.313 2.233 0.000
-1.010 0.000 7.092
! Space group = C2/c, No. 15
! M_tot = 0.00 μB/f.u.
! Calculated volume = 14.28 A^3/atom
! Final energy = -23.293 eV per formula unit

***

! ZnRh2 (PBE, optimized geometry); values from VASP
&SYSTEM
  ibrav = 0, nat = 3, ntyp = 2
/
ATOMIC_SPECIES
Zn 65.41 Zn.upf
Rh 102.91 Rh.upf
ATOMIC_POSITIONS angstrom
Zn 0.000 0.000 0.000
Rh 1.446 1.446 1.446
Rh 4.338 4.338 4.338
CELL_PARAMETERS angstrom
0.000 2.892 2.892
2.892 0.000 2.892
2.892 2.892 0.000
! Space group = Fm-3m, No. 225
! M_tot = 0.77 μB/f.u.
! Calculated volume = 16.13 A^3/atom
! Final energy = -15.008 eV per formula unit

***

! ZnRh (PBE, optimized geometry); values from VASP
&SYSTEM
  ibrav = 0, nat = 8, ntyp = 2
/
ATOMIC_SPECIES
Zn 65.41 Zn.upf
Rh 102.91 Rh.upf
ATOMIC_POSITIONS angstrom
Zn 0.000 0.000 1.929
Zn 0.000 0.000 5.787
Zn 0.000 2.434 1.929
Zn 2.108 1.217 5.787
Rh 0.000 2.434 4.488
Rh 0.000 2.434 7.087
Rh 2.108 1.217 0.629
Rh 2.108 1.217 3.229
CELL_PARAMETERS angstrom
4.215 0.000 0.000
-2.108 3.650 0.000
0.000 0.000 7.716
! Space group = P6_3/mmc, No. 194
! M_tot = 0.00 μB/f.u.
! Calculated volume = 14.84 A^3/atom
! Final energy = -8.713 eV per formula unit

***

! ZnRh (PBE, optimized geometry); values from VASP
&SYSTEM
  ibrav = 0, nat = 8, ntyp = 2
/
ATOMIC_SPECIES
Zn 65.41 Zn.upf
Rh 102.91 Rh.upf
ATOMIC_POSITIONS angstrom
Zn 0.469 0.469 0.469
Zn 1.958 4.385 2.895
Zn 2.895 1.958 4.385
Zn 4.385 2.895 1.958
Rh 0.485 2.912 4.368
Rh 1.941 1.941 1.941
Rh 2.912 4.368 0.485
Rh 4.368 0.485 2.912
CELL_PARAMETERS angstrom
4.853 0.000 0.000
0.000 4.853 0.000
0.000 0.000 4.853
! Space group = P2_13, No. 198
! M_tot = 0.00 μB/f.u.
! Calculated volume = 14.29 A^3/atom
! Final energy = -9.087 eV per formula unit

***

! ZnRh3 (PBE, optimized geometry); values from VASP
&SYSTEM
  ibrav = 0, nat = 4, ntyp = 2
/
ATOMIC_SPECIES
Zn 65.41 Zn.upf
Rh 102.91 Rh.upf
ATOMIC_POSITIONS angstrom
Zn 0.000 0.000 0.000
Rh 0.000 0.000 2.705
Rh 1.381 1.890 1.351
Rh 1.381 1.890 4.058
CELL_PARAMETERS angstrom
2.762 0.000 0.000
0.000 3.781 0.000
0.000 0.000 5.409
! Space group = Pmmm, No. 47
! M_tot = 0.00 μB/f.u.
! Calculated volume = 14.12 A^3/atom
! Final energy = -23.809 eV per formula unit

***

! ZnRh (PBE, optimized geometry); values from VASP
&SYSTEM
  ibrav = 0, nat = 2, ntyp = 2
/
ATOMIC_SPECIES
Zn 65.41 Zn.upf
Rh 102.91 Rh.upf
ATOMIC_POSITIONS angstrom
Zn 0.000 0.000 0.000
Rh 1.387 1.387 1.387
CELL_PARAMETERS angstrom
0.000 2.775 2.775
2.775 0.000 2.775
2.775 2.775 0.000
! Space group = F-43m, No. 216
! M_tot = 0.00 μB/f.u.
! Calculated volume = 21.36 A^3/atom
! Final energy = -6.903 eV per formula unit